A plane-wave DFT calculation with PBE was carried out for an optimized crystal structure of Ca2HgP.

The space group is Fm-3m (No. 225) and the conventional cell measures 7.3355, 7.3355 and 7.3355 Å, with angles of 90.00, 90.00 and 90.00 degrees. Symmetry generates all atoms from Ca at (0.2500, 0.2500, 0.2500), Hg at (0.0000, 0.0000, 0.0000) and P at (0.0000, 0.0000, 0.5000).

The raw total energy is -3.086 eV/atom.

---

A plane-wave DFT calculation with PBE was carried out for an optimized crystal structure of CaHg2P.

The space group is Fmmm (No. 69) and the conventional cell measures 5.9441, 5.9618 and 11.3466 Å, with angles of 90.00, 90.00 and 90.00 degrees. Symmetry generates all atoms from Ca at (0.0000, 0.0000, 0.0000), Hg at (0.2500, 0.0000, 0.2500) and P at (0.0000, 0.0000, 0.5000).

The raw total energy is -2.258 eV/atom.

---

A plane-wave DFT calculation with PBE was carried out for an optimized crystal structure of CaHg2P.

The space group is F-43m (No. 216) and the conventional cell measures 7.2296, 7.2296 and 7.2296 Å, with angles of 90.00, 90.00 and 90.00 degrees. Symmetry generates all atoms from Ca at (0.0000, 0.0000, 0.0000), Hg at (0.0000, 0.0000, 0.5000), Hg at (0.2500, 0.2500, 0.7500) and P at (0.2500, 0.2500, 0.2500).

The raw total energy is -2.247 eV/atom.

---

A plane-wave DFT calculation with PBE was carried out for an optimized crystal structure of CaHg2P.

The space group is Cmm2 (No. 35) and the conventional cell measures 5.0764, 5.3675 and 7.0185 Å, with angles of 90.00, 90.00 and 90.00 degrees. Symmetry generates all atoms from Ca at (0.0000, 0.0000, 0.0000), Hg at (0.0000, 0.0000, 0.5555), Hg at (0.0000, 0.5000, 0.3041) and P at (0.0000, 0.5000, 0.7859).

The raw total energy is -2.208 eV/atom.

---

A plane-wave DFT calculation with PBE was carried out for an optimized crystal structure of CaHg2P.

The space group is P1 (No. 1) and the conventional cell measures 4.1554, 5.2908 and 5.5379 Å, with angles of 67.33, 68.39 and 66.95 degrees. Symmetry generates all atoms from Ca at (0.0000, 0.0000, 0.0000), Hg at (0.6105, 0.3197, 0.4620), Hg at (0.8222, 0.6855, 0.6692) and P at (0.2675, 0.3964, 0.0687).

The raw total energy is -2.328 eV/atom.

---

A plane-wave DFT calculation with PBE was carried out for an optimized crystal structure of CaHg2P.

The space group is P1 (No. 1) and the conventional cell measures 4.0583, 4.0586 and 6.9197 Å, with angles of 106.64, 106.65 and 90.01 degrees. Symmetry generates all atoms from Ca at (0.0000, 0.0000, 0.0000), Hg at (0.2937, 0.3001, 0.5892), Hg at (0.7074, 0.7138, 0.4106) and P at (0.4999, 0.4997, 0.9999).

The raw total energy is -2.414 eV/atom.